[1]
This record from Alexandria via LeMat-Bulk describes a relaxed structure of Na3Ca2PuS6. The functional is PBE-GGA. Values from VASP.

```
&SYSTEM
  ibrav = 0, nat = 12, ntyp = 4
/
ATOMIC_SPECIES
Na 22.99 Na.upf
Ca 40.08 Ca.upf
Pu 244.00 Pu.upf
S 32.06 S.upf
ATOMIC_POSITIONS angstrom
Na 0.000 0.000 0.000
Na 3.482 2.024 0.000
Na 3.482 -2.024 0.000
Ca 2.314 4.019 3.316
Ca 2.314 -4.019 3.316
Pu 2.314 0.000 3.316
S 1.229 1.885 1.800
S 0.148 0.000 4.799
S 1.229 -1.885 1.800
S 3.398 1.885 4.832
S 4.480 0.000 1.833
S 3.398 -1.885 4.832
CELL_PARAMETERS angstrom
3.482 -6.036 0.000
3.482 6.036 0.000
-2.337 0.000 6.632
```

For the density, the calculation gives 3487 kg/m3. The calculated total energy comes out at -5.45 eV per atom. The value obtained for the density of states at the Fermi level is 10.7 states/eV/cell.

***

[2]
This record from Alexandria via LeMat-Bulk describes a relaxed structure of Mn2BiBP. The functional is PBE-GGA. Values from VASP.

```
&SYSTEM
  ibrav = 0, nat = 5, ntyp = 4
/
ATOMIC_SPECIES
Mn 54.94 Mn.upf
Bi 208.98 Bi.upf
B 10.81 B.upf
P 30.97 P.upf
ATOMIC_POSITIONS angstrom
Mn 0.000 2.199 0.000
Mn 2.199 0.000 0.000
Bi 0.000 0.000 2.775
B 2.199 2.199 2.775
P 0.000 0.000 0.000
CELL_PARAMETERS angstrom
4.399 0.000 0.000
0.000 4.399 0.000
0.000 0.000 5.550
```

For the density, the calculation gives 5577 kg/m3. Its formation energy is 1.17 eV per atom. The value obtained for the density of states at the Fermi level is 4.2 states/eV/cell.

***

Among the records above, which one has the lowest density? Na3Ca2PuS6

***

Number 1 is which compound? Na3Ca2PuS6